1.
DFT (PBE) results for a relaxed Ta4V crystal. Values from VASP.

```
&SYSTEM
  ibrav = 0, nat = 5, ntyp = 2
/
ATOMIC_SPECIES
Ta 180.95 Ta.upf
V 50.94 V.upf
CELL_PARAMETERS angstrom
-0.686 2.842 -3.579
1.100 -3.410 -2.918
-4.435 -1.285 -0.170
ATOMIC_POSITIONS angstrom
Ta 0.000 0.000 0.000
V -2.011 -0.927 -3.334
Ta 0.207 -0.284 -3.248
Ta -1.668 -2.347 -1.544
Ta -2.561 0.778 -1.874
```

Properties
Excess energy over the best structure of this formula in the dataset, eV/f.u.: 2.65
Spin magnetization, μB/f.u.: 0.000
D(E_F), states/eV/atom: 0.749
Energy relative to the elements, eV per atom: 1.1528

---

2.
DFT (PBE) results for a relaxed Ta4V crystal. Values from VASP.

```
&SYSTEM
  ibrav = 0, nat = 10, ntyp = 2
/
ATOMIC_SPECIES
Ta 180.95 Ta.upf
V 50.94 V.upf
CELL_PARAMETERS angstrom
0.000 4.649 4.649
4.649 0.000 4.649
4.649 4.649 0.000
ATOMIC_POSITIONS angstrom
Ta 3.689 5.609 5.609
Ta 5.609 3.689 5.609
Ta 7.934 7.934 7.934
V 0.000 0.000 0.000
Ta 6.013 7.934 6.013
Ta 3.689 3.689 3.689
Ta 6.013 6.013 7.934
V 2.325 2.325 2.325
Ta 5.609 5.609 3.689
Ta 7.934 6.013 6.013
```

Properties
Excess energy over the best structure of this formula in the dataset, eV/f.u.: 4.10
Spin magnetization, μB/f.u.: 0.460
D(E_F), states/eV/atom: 2.064
Energy relative to the elements, eV per atom: 1.4423

---

3.
DFT (PBE) results for a relaxed Ta4V crystal. Values from VASP.

```
&SYSTEM
  ibrav = 0, nat = 10, ntyp = 2
/
ATOMIC_SPECIES
V 50.94 V.upf
Ta 180.95 Ta.upf
CELL_PARAMETERS angstrom
6.327 -0.552 0.000
-3.039 5.576 0.000
-1.644 -2.512 5.597
ATOMIC_POSITIONS angstrom
V 1.644 2.512 0.000
V -1.520 2.788 2.798
Ta 0.248 2.495 4.438
Ta -0.543 1.286 1.158
Ta 1.768 -0.294 3.956
Ta 0.667 4.015 1.640
Ta -1.768 0.294 3.956
Ta -3.288 3.082 4.438
Ta -2.497 4.291 1.158
Ta 2.621 1.009 1.640
```

Properties
Excess energy over the best structure of this formula in the dataset, eV/f.u.: 0.00
Spin magnetization, μB/f.u.: 0.000
D(E_F), states/eV/atom: 1.043
Energy relative to the elements, eV per atom: 0.6229

---

Question: Which value of energy relative to the elements does entry 3 give?
Answer: 0.6229 eV per atom

---

Question: Which value of D(E_F) does entry 3 give?
Answer: 1.043 states/eV/atom

---

Question: Among the records above, which one has the highest energy relative to the elements?
Answer: number 2